1.
The following is a DFT calculation (SCAN) of LaZrTc2 at its PBEsol-relaxed geometry.

Calculated values
**Energy relative to the elements**: 0.34 eV per atom
**Crystal system**: orthorhombic
**ΔE to the lowest computed polymorph**: 155 meV/atom

Cell: 3.297 4.367 5.138 Å, 90.00 90.00 90.00°
Space group Pmmm (No. 47)
Asymmetric unit:
1 La 0.000 0.000 0.000 [1 per cell]
2 Zr 0.500 0.000 0.500 [1 per cell]
3 Tc 0.000 0.500 0.500 [1 per cell]
4 Tc 0.500 0.500 0.000 [1 per cell]

=====

2.
The following is a DFT calculation (SCAN) of Li3HfBi at its PBEsol-relaxed geometry.

Calculated values
**Energy relative to the elements**: 1.06 eV per atom
**Crystal system**: cubic

Cell: 5.071 5.071 5.071 Å, 90.00 90.00 90.00°
Space group Pm-3m (No. 221)
Asymmetric unit:
1 Li 0.000 0.000 0.500 [3 per cell]
2 Hf 0.000 0.000 0.000 [1 per cell]
3 Bi 0.500 0.500 0.500 [1 per cell]

=====

3.
The following is a DFT calculation (SCAN) of La2YTl at its PBEsol-relaxed geometry.

Calculated values
**Energy relative to the elements**: -0.32 eV per atom
**Crystal system**: orthorhombic
**ΔE to the lowest computed polymorph**: 24 meV/atom

Cell: 3.895 5.568 11.559 Å, 90.00 90.00 90.00°
Space group Imm2 (No. 44)
Asymmetric unit:
1 La 0.000 0.000 0.000 [2 per cell]
2 La 0.000 0.500 0.220 [2 per cell]
3 Y 0.000 0.500 0.776 [2 per cell]
4 Tl 0.000 0.000 0.487 [2 per cell]

=====

4.
The following is a DFT calculation (SCAN) of KMg3Si4O12 at its PBEsol-relaxed geometry.

Calculated values
**Uncorrected formation energy**: -58.10 eV per formula unit
**Crystal system**: monoclinic

Cell: 5.225 9.206 10.143 Å, 90.00 98.97 90.00°
Space group C2/m (No. 12)
Asymmetric unit:
1 K 0.000 0.000 0.000 [2 per cell]
2 Mg 0.000 0.165 0.500 [4 per cell]
3 Mg 0.000 0.500 0.500 [2 per cell]
4 Si 0.074 0.333 0.227 [8 per cell]
5 O 0.050 0.500 0.165 [4 per cell]
6 O 0.121 0.330 0.386 [8 per cell]
7 O 0.125 0.000 0.403 [4 per cell]
8 O 0.194 0.248 0.839 [8 per cell]

=====

5.
The following is a DFT calculation (SCAN) of Fe4ReW at its PBEsol-relaxed geometry.

Calculated values
**Energy relative to the elements**: 0.08 eV per atom
**Crystal system**: cubic

Cell: 6.534 6.534 6.534 Å, 90.00 90.00 90.00°
Space group F-43m (No. 216)
Asymmetric unit:
1 Fe 0.125 0.125 0.125 [16 per cell]
2 Re 0.250 0.250 0.750 [4 per cell]
3 W 0.000 0.000 0.500 [4 per cell]

=====

6.
The following is a DFT calculation (SCAN) of MoIrPt2 at its PBEsol-relaxed geometry.

Calculated values
**Energy relative to the elements**: -0.27 eV per atom
**Crystal system**: tetragonal
**ΔE to the lowest computed polymorph**: 13 meV/atom

Cell: 2.740 2.740 7.865 Å, 90.00 90.00 90.00°
Space group P4mm (No. 99)
Asymmetric unit:
1 Mo 0.000 0.000 0.000 [1 per cell]
2 Ir 0.500 0.500 0.768 [1 per cell]
3 Pt 0.000 0.000 0.511 [1 per cell]
4 Pt 0.500 0.500 0.247 [1 per cell]

=====

7.
The following is a DFT calculation (SCAN) of Fe3Br at its PBEsol-relaxed geometry.

Calculated values
**Uncorrected formation energy**: 1.59 eV per formula unit
**Crystal system**: hexagonal
**ΔE to the lowest computed polymorph**: 0 meV/atom

Cell: 3.0609 3.0609 7.2273 Å, 90.00 90.00 120.00°
Space group P-6m2 (No. 187)
Asymmetric unit:
1 Fe 0.0000 0.0000 0.0000 [1 per cell]
2 Fe 0.3333 0.6667 0.2273 [2 per cell]
3 Br 0.0000 0.0000 0.5000 [1 per cell]

=====

8.
The following is a DFT calculation (SCAN) of SrLiAl2 at its PBEsol-relaxed geometry.

Calculated values
**Energy relative to the elements**: -0.20 eV per atom
**Crystal system**: trigonal
**ΔE to the lowest computed polymorph**: 0 meV/atom

Cell: 4.4979 4.4979 16.6297 Å, 90.00 90.00 120.00°
Space group R3m (No. 160, hexagonal axes)
Asymmetric unit:
1 Sr 0.0000 0.0000 0.0000 [3 per cell]
2 Li 0.0000 0.0000 0.1987 [3 per cell]
3 Al 0.0000 0.0000 0.4944 [3 per cell]
4 Al 0.0000 0.0000 0.7949 [3 per cell]

=====

9.
The following is a DFT calculation (SCAN) of CaSc3Al at its PBEsol-relaxed geometry.

Calculated values
**Energy relative to the elements**: 0.25 eV per atom
**Crystal system**: cubic

Cell: 5.248 5.248 5.248 Å, 90.00 90.00 90.00°
Space group Pm-3m (No. 221)
Asymmetric unit:
1 Ca 0.000 0.000 0.000 [1 per cell]
2 Sc 0.000 0.500 0.500 [3 per cell]
3 Al 0.500 0.500 0.500 [1 per cell]

=====

10.
The following is a DFT calculation (SCAN) of Cd2MoW at its PBEsol-relaxed geometry.

Calculated values
**Energy relative to the elements**: 0.55 eV per atom
**Crystal system**: orthorhombic
**ΔE to the lowest computed polymorph**: 69 meV/atom

Cell: 2.718 4.298 5.934 Å, 90.00 90.00 90.00°
Space group Pmm2 (No. 25)
Asymmetric unit:
1 Cd 0.000 0.000 0.000 [1 per cell]
2 Cd 0.500 0.500 0.244 [1 per cell]
3 Mo 0.000 0.000 0.521 [1 per cell]
4 W 0.500 0.500 0.722 [1 per cell]

=====

11.
The following is a DFT calculation (SCAN) of Ba2ZrCd at its PBEsol-relaxed geometry.

Calculated values
**Energy relative to the elements**: 0.43 eV per atom
**Crystal system**: trigonal

Cell: 3.6484 3.6484 34.4731 Å, 90.00 90.00 120.00°
Space group R-3m (No. 166, hexagonal axes)
Asymmetric unit:
1 Ba 0.0000 0.0000 0.2503 [6 per cell]
2 Zr 0.0000 0.0000 0.5000 [3 per cell]
3 Cd 0.0000 0.0000 0.0000 [3 per cell]

=====

12.
The following is a DFT calculation (SCAN) of Y3RuRh at its PBEsol-relaxed geometry.

Calculated values
**Energy relative to the elements**: 0.13 eV per atom
**Crystal system**: cubic

Cell: 5.112 5.112 5.112 Å, 90.00 90.00 90.00°
Space group Pm-3m (No. 221)
Asymmetric unit:
1 Y 0.000 0.000 0.500 [3 per cell]
2 Ru 0.500 0.500 0.500 [1 per cell]
3 Rh 0.000 0.000 0.000 [1 per cell]

=====

13.
The following is a DFT calculation (SCAN) of YSc2In at its PBEsol-relaxed geometry.

Calculated values
**Energy relative to the elements**: -0.34 eV per atom
**Crystal system**: orthorhombic

Cell: 3.615 5.102 10.706 Å, 90.00 90.00 90.00°
Space group Immm (No. 71)
Asymmetric unit:
1 Y 0.000 0.000 0.000 [2 per cell]
2 Sc 0.000 0.500 0.226 [4 per cell]
3 In 0.000 0.000 0.500 [2 per cell]

=====

14.
The following is a DFT calculation (SCAN) of Zr2ScRh at its PBEsol-relaxed geometry.

Calculated values
**Energy relative to the elements**: -0.33 eV per atom
**Crystal system**: orthorhombic

Cell: 3.318 4.645 4.871 Å, 90.00 90.00 90.00°
Space group Pmmm (No. 47)
Asymmetric unit:
1 Zr 0.000 0.000 0.000 [1 per cell]
2 Zr 0.500 0.500 0.000 [1 per cell]
3 Sc 0.000 0.500 0.500 [1 per cell]
4 Rh 0.500 0.000 0.500 [1 per cell]

=====

15.
The following is a DFT calculation (SCAN) of InAg8 at its PBEsol-relaxed geometry.

Calculated values
**Energy relative to the elements**: -0.01 eV per atom
**Crystal system**: tetragonal

Cell: 8.628 8.628 4.122 Å, 90.00 90.00 90.00°
Space group I4/mmm (No. 139)
Asymmetric unit:
1 In 0.000 0.000 0.000 [2 per cell]
2 Ag 0.000 0.335 0.000 [8 per cell]
3 Ag 0.169 0.169 0.500 [8 per cell]

=====

16.
The following is a DFT calculation (SCAN) of SbTeN2O at its PBEsol-relaxed geometry.

Calculated values
**Uncorrected formation energy**: 7.28 eV per formula unit
**Crystal system**: tetragonal

Cell: 3.813 3.813 6.328 Å, 90.00 90.00 90.00°
Space group P4/mmm (No. 123)
Asymmetric unit:
1 Sb 0.000 0.000 0.000 [1 per cell]
2 Te 0.000 0.000 0.500 [1 per cell]
3 N 0.000 0.500 0.000 [2 per cell]
4 O 0.500 0.500 0.500 [1 per cell]

=====

17.
The following is a DFT calculation (SCAN) of BaPtW2 at its PBEsol-relaxed geometry.

Calculated values
**Energy relative to the elements**: 1.24 eV per atom
**Crystal system**: orthorhombic
**ΔE to the lowest computed polymorph**: 782 meV/atom

Cell: 2.855 5.159 5.301 Å, 90.00 90.00 90.00°
Space group Pmmm (No. 47)
Asymmetric unit:
1 Ba 0.000 0.000 0.000 [1 per cell]
2 Pt 0.500 0.500 0.000 [1 per cell]
3 W 0.000 0.500 0.500 [1 per cell]
4 W 0.500 0.000 0.500 [1 per cell]

=====

18.
The following is a DFT calculation (SCAN) of ReSiAu at its PBEsol-relaxed geometry.

Calculated values
**Uncorrected formation energy**: 0.88 eV per formula unit
**Crystal system**: tetragonal

Cell: 3.032 3.032 9.633 Å, 90.00 90.00 90.00°
Space group I4mm (No. 107)
Asymmetric unit:
1 Re 0.000 0.000 0.000 [2 per cell]
2 Si 0.000 0.000 0.376 [2 per cell]
3 Au 0.000 0.000 0.701 [2 per cell]

=====

19.
The following is a DFT calculation (SCAN) of V2CoH8O10 at its PBEsol-relaxed geometry.

Calculated values
**Crystal system**: monoclinic

Cell: 13.318 9.344 6.888 Å, 90.00 111.26 90.00°
Space group C2/c (No. 15)
Asymmetric unit:
1 V 0.103 0.021 0.195 [8 per cell]
2 Co 0.250 0.250 0.000 [4 per cell]
3 H 0.107 0.356 0.706 [8 per cell]
4 H 0.134 0.467 0.901 [8 per cell]
5 H 0.139 0.304 0.361 [8 per cell]
6 H 0.216 0.358 0.583 [8 per cell]
7 O 0.057 0.048 0.422 [8 per cell]
8 O 0.124 0.361 0.859 [8 per cell]
9 O 0.143 0.373 0.473 [8 per cell]
10 O 0.173 0.172 0.198 [8 per cell]
11 O 0.193 0.104 0.818 [8 per cell]

=====

20.
The following is a DFT calculation (SCAN) of TaFeCoRu2 at its PBEsol-relaxed geometry.

Calculated values
**Energy relative to the elements**: 1.59 eV per atom
**Crystal system**: tetragonal

Cell: 4.603 4.603 4.357 Å, 90.00 90.00 90.00°
Space group P4/mmm (No. 123)
Asymmetric unit:
1 Ta 0.000 0.000 0.000 [1 per cell]
2 Fe 0.500 0.500 0.500 [1 per cell]
3 Co 0.000 0.000 0.500 [1 per cell]
4 Ru 0.000 0.500 0.000 [2 per cell]

=====

21.
The following is a DFT calculation (SCAN) of Fe2P at its PBEsol-relaxed geometry.

Calculated values
**Energy relative to the elements**: 0.04 eV per atom
**Crystal system**: orthorhombic

Cell: 2.654 11.768 3.869 Å, 90.00 90.00 90.00°
Space group Cmcm (No. 63)
Asymmetric unit:
1 Fe 0.000 0.074 0.250 [4 per cell]
2 Fe 0.000 0.227 0.750 [4 per cell]
3 P 0.000 0.416 0.250 [4 per cell]

=====

22.
The following is a DFT calculation (SCAN) of KCuHg2 at its PBEsol-relaxed geometry.

Calculated values
**Energy relative to the elements**: 0.18 eV per atom
**Crystal system**: tetragonal
**ΔE to the lowest computed polymorph**: 180 meV/atom

Cell: 4.578 4.578 4.557 Å, 90.00 90.00 90.00°
Space group P4/mmm (No. 123)
Asymmetric unit:
1 K 0.000 0.000 0.000 [1 per cell]
2 Cu 0.500 0.500 0.000 [1 per cell]
3 Hg 0.000 0.500 0.500 [2 per cell]

=====

23.
The following is a DFT calculation (SCAN) of CeY4Si4 at its PBEsol-relaxed geometry.

Calculated values
**Uncorrected formation energy**: -7.24 eV per formula unit
**Crystal system**: orthorhombic

Cell: 7.368 7.663 14.511 Å, 90.00 90.00 90.00°
Space group P2_12_12_1 (No. 19)
Asymmetric unit:
1 Ce 0.224 0.182 0.348 [4 per cell]
2 Y 0.069 0.679 0.627 [4 per cell]
3 Y 0.070 0.680 0.372 [4 per cell]
4 Y 0.098 0.514 0.000 [4 per cell]
5 Y 0.225 0.182 0.651 [4 per cell]
6 Si 0.017 0.375 0.499 [4 per cell]
7 Si 0.101 0.471 0.790 [4 per cell]
8 Si 0.104 0.474 0.210 [4 per cell]
9 Si 0.225 0.105 0.000 [4 per cell]

=====

24.
The following is a DFT calculation (SCAN) of Tc2P at its PBEsol-relaxed geometry.

Calculated values
**Energy relative to the elements**: -0.35 eV per atom
**Crystal system**: tetragonal
**ΔE to the lowest computed polymorph**: 115 meV/atom

Cell: 2.862 2.862 9.383 Å, 90.00 90.00 90.00°
Space group I4/mmm (No. 139)
Asymmetric unit:
1 Tc 0.000 0.000 0.152 [4 per cell]
2 P 0.000 0.000 0.500 [2 per cell]

=====

25.
The following is a DFT calculation (SCAN) of MnRe at its PBEsol-relaxed geometry.

Calculated values
**Energy relative to the elements**: 1.18 eV per atom
**Crystal system**: cubic

Cell: 4.803 4.803 4.803 Å, 90.00 90.00 90.00°
Space group Fm-3m (No. 225)
Asymmetric unit:
1 Mn 0.000 0.000 0.000 [4 per cell]
2 Re 0.000 0.000 0.500 [4 per cell]

=====

For reference, VASP energy by record: -142.5; -143.1; -375.4; -392.4; -851.4; -247.4; -72.3; -122.9; -58.9; -163.2; -415.5; -151.5; -182.1; -110.7; -568.9; -92.0; -244.2; -298.8; -699.3; -163.7; -186.1; -159.1; -812.9; -163.1; -348.0 eV per cell.